PmPrTh2P4 after structural relaxation, computed with PBE-GGA.

Spin magnetization = 0.0 μB per formula unit
Formation energy from the elements = -12.52 eV/f.u.
Total DFT energy (no corrections) = -58.530 eV/cell

abc: 4.160 7.189 7.204
angles: 70.41 90.00 90.00
Element x y z (fractional)
Pm (0.500, 0.500, 0.000)
Pr (0.000, 0.500, 0.500)
Th (0.000, 0.000, 0.000)
Th (0.500, 0.000, 0.500)
P (0.000, 0.754, 0.751)
P (0.000, 0.246, 0.249)
P (0.500, 0.756, 0.246)
P (0.500, 0.244, 0.754)